BaAg5Sn7: relaxed, PBE.

total DFT energy (no corrections): -3.511 eV per atom

Cell lengths 6.0621, 7.8937, 7.8937 Å; angles 82.63, 67.42, 67.42 degrees
Atoms (fractional coordinates):
Ba 0.9989 0.0011 0.0011
Ag 0.0024 0.9925 0.5049
Sn 0.5067 0.1952 0.7914
Ag 0.5002 0.9925 0.5049
Sn 0.2748 0.2252 0.2252
Sn 0.5067 0.7914 0.1952
Ag 0.5002 0.5049 0.9925
Ag 0.0024 0.5049 0.9925
Ag 0.7239 0.7761 0.7761
Sn 0.9945 0.6564 0.3546
Sn 0.9945 0.3546 0.6564
Sn 0.6467 0.3533 0.3533
Sn 0.3479 0.6521 0.6521